Record 1
! NaInAgCl6 | Alexandria | GGA-PBE | optimized geometry; values from VASP
! - mass density (g/cm3) = 3.18
! - calculated volume (Å³/cell) = 239.6
! - formation energy (no corrections) (eV per atom) = -0.972
&SYSTEM
  ibrav = 0, nat = 9, ntyp = 4
/
ATOMIC_SPECIES
Cl 35.45 Cl.upf
Ag 107.87 Ag.upf
Na 22.99 Na.upf
In 114.82 In.upf
ATOMIC_POSITIONS crystal
Cl 0.7350 0.3425 0.0301
Cl 0.7350 0.9699 0.3123
Cl 0.2650 0.3425 0.3123
Cl 0.2650 0.9699 0.6575
Cl 0.7350 0.6877 0.6575
Cl 0.2650 0.6877 0.0301
Ag 0.5000 0.0000 0.0000
Na 0.0000 0.3333 0.6667
In 0.5000 0.6667 0.3333
CELL_PARAMETERS angstrom
6.2359 0.0000 0.0000
0.0000 6.6612 0.0000
0.0000 -3.3306 5.7688

Record 2
! Na2InAgCl4 | Alexandria | GGA-PBE | optimized geometry; values from VASP
! - mass density (g/cm3) = 3.19
! - calculated volume (Å³/cell) = 427.5
! - formation energy (no corrections) (eV per atom) = -1.185
&SYSTEM
  ibrav = 0, nat = 16, ntyp = 4
/
ATOMIC_SPECIES
Cl 35.45 Cl.upf
In 114.82 In.upf
Na 22.99 Na.upf
Ag 107.87 Ag.upf
ATOMIC_POSITIONS crystal
Cl 0.2583 0.5167 0.1082
Cl 0.5409 0.0817 0.2500
Cl 0.4591 0.9183 0.7500
Cl 0.0000 0.0000 0.5000
Cl 0.0000 0.0000 0.0000
Cl 0.7417 0.4834 0.8918
Cl 0.7417 0.4834 0.6082
Cl 0.2583 0.5167 0.3918
In 0.1329 0.2658 0.7500
In 0.8671 0.7342 0.2500
Na 0.3760 0.7521 0.9534
Na 0.6240 0.2479 0.4534
Na 0.6240 0.2479 0.0466
Na 0.3760 0.7521 0.5466
Ag 0.1558 0.3115 0.2500
Ag 0.8442 0.6885 0.7500
CELL_PARAMETERS angstrom
-0.8300 -1.8999 3.5551
-5.0885 -2.1158 -4.7008
8.6105 -11.5091 -4.1405

Record 3
! Na2InAgCl6 | Alexandria | GGA-PBE | optimized geometry; values from VASP
! - mass density (g/cm3) = 3.13
! - E above lowest polymorph (eV per atom) = 0.000
! - calculated volume (Å³/cell) = 255.1
! - formation energy (no corrections) (eV per atom) = -1.251
&SYSTEM
  ibrav = 0, nat = 10, ntyp = 4
/
ATOMIC_SPECIES
Na 22.99 Na.upf
Cl 35.45 Cl.upf
Ag 107.87 Ag.upf
In 114.82 In.upf
ATOMIC_POSITIONS crystal
Na 0.5265 0.5258 0.4217
Na 0.0161 0.0158 0.9526
Cl 0.4263 0.6970 0.7644
Cl 0.5782 0.2083 0.2516
Cl 0.2094 0.9625 0.2507
Cl 0.9627 0.5772 0.2506
Cl 0.1113 0.4272 0.7638
Cl 0.6969 0.1117 0.7650
Ag 0.8102 0.8119 0.5667
In 0.3239 0.3240 0.0280
CELL_PARAMETERS angstrom
-6.3506 0.2654 2.7830
-5.4215 -2.6605 -3.4327
-2.9673 -6.2170 2.4583

Record 4
! NaIn2AgCl4 | Alexandria | GGA-PBE | optimized geometry; values from VASP
! - mass density (g/cm3) = 3.83
! - calculated volume (Å³/cell) = 217.9
! - formation energy (no corrections) (eV per atom) = -0.937
&SYSTEM
  ibrav = 0, nat = 8, ntyp = 4
/
ATOMIC_SPECIES
Ag 107.87 Ag.upf
Na 22.99 Na.upf
Cl 35.45 Cl.upf
In 114.82 In.upf
ATOMIC_POSITIONS crystal
Ag 0.5000 0.5000 0.0000
Na 0.0000 0.5000 0.5000
Cl 0.0000 0.7099 0.7658
Cl 0.5000 0.2873 0.7388
Cl 0.0000 0.2901 0.2342
Cl 0.5000 0.7127 0.2612
In 0.5000 0.0000 0.5000
In 0.0000 0.0000 0.0000
CELL_PARAMETERS angstrom
-1.1597 3.8243 -1.2436
-6.9808 -2.6359 -1.5961
-4.1100 0.6643 5.8754

Record 5
! Na2InAgCl6 | Alexandria | GGA-PBE | optimized geometry; values from VASP
! - mass density (g/cm3) = 2.84
! - E above lowest polymorph (eV per atom) = 0.131
! - calculated volume (Å³/cell) = 281.7
! - formation energy (no corrections) (eV per atom) = -1.120
&SYSTEM
  ibrav = 0, nat = 10, ntyp = 4
/
ATOMIC_SPECIES
Na 22.99 Na.upf
In 114.82 In.upf
Cl 35.45 Cl.upf
Ag 107.87 Ag.upf
ATOMIC_POSITIONS crystal
Na 0.2500 0.2500 0.2500
Na 0.7500 0.7500 0.7500
In 0.0000 0.0000 0.0000
Cl 0.2436 0.7564 0.2436
Cl 0.7564 0.7564 0.2436
Cl 0.2436 0.2436 0.7564
Cl 0.2436 0.7564 0.7564
Cl 0.7564 0.2436 0.2436
Cl 0.7564 0.2436 0.7564
Ag 0.5000 0.5000 0.5000
CELL_PARAMETERS angstrom
0.0000 5.2032 5.2032
5.2032 0.0000 5.2032
5.2032 5.2032 0.0000

Record 6
! NbInAgCl2 | Alexandria | GGA-PBE | optimized geometry; values from VASP
! - mass density (g/cm3) = 4.52
! - calculated volume (Å³/cell) = 142.1
! - formation energy (no corrections) (eV per atom) = 0.733
&SYSTEM
  ibrav = 0, nat = 5, ntyp = 4
/
ATOMIC_SPECIES
Cl 35.45 Cl.upf
Nb 92.91 Nb.upf
In 114.82 In.upf
Ag 107.87 Ag.upf
ATOMIC_POSITIONS crystal
Cl 0.0000 0.0000 0.5000
Cl 0.5000 0.0000 0.0000
Nb 0.5000 0.5000 0.5000
In 0.0000 0.0000 0.0000
Ag 0.0000 0.5000 0.0000
CELL_PARAMETERS angstrom
-4.7523 -1.8261 0.8579
2.0516 -4.7683 1.2147
0.3513 1.4129 4.9533

Record 7
! InNiAgCl6 | Alexandria | GGA-PBE | optimized geometry; values from VASP
! - mass density (g/cm3) = 3.87
! - calculated volume (Å³/cell) = 424.0
! - formation energy (no corrections) (eV per atom) = -0.712
&SYSTEM
  ibrav = 0, nat = 18, ntyp = 4
/
ATOMIC_SPECIES
Ni 58.69 Ni.upf
Cl 35.45 Cl.upf
In 114.82 In.upf
Ag 107.87 Ag.upf
ATOMIC_POSITIONS crystal
Ni 0.5000 0.5000 0.1655
Ni 0.0000 0.0000 0.6655
Cl 0.7884 0.2116 0.1729
Cl 0.3171 0.3171 0.0093
Cl 0.6829 0.6829 0.0093
Cl 0.3035 0.3035 0.3190
Cl 0.2116 0.7884 0.1729
Cl 0.8171 0.1829 0.5093
Cl 0.6965 0.6965 0.3190
Cl 0.7116 0.7116 0.6729
Cl 0.2884 0.2884 0.6729
Cl 0.8035 0.1965 0.8190
Cl 0.1829 0.8171 0.5093
Cl 0.1965 0.8035 0.8190
In 0.0000 0.0000 0.3311
In 0.5000 0.5000 0.8311
Ag 0.5000 0.5000 0.5009
Ag 0.0000 0.0000 0.0009
CELL_PARAMETERS angstrom
6.0969 0.0000 0.0000
0.0000 6.0969 0.0000
0.0000 0.0000 11.4071

Record 8
! InAgPb2Cl6 | Alexandria | GGA-PBE | optimized geometry; values from VASP
! - mass density (g/cm3) = 4.45
! - calculated volume (Å³/cell) = 317.3
! - formation energy (no corrections) (eV per atom) = -0.928
&SYSTEM
  ibrav = 0, nat = 10, ntyp = 4
/
ATOMIC_SPECIES
Cl 35.45 Cl.upf
Pb 207.20 Pb.upf
In 114.82 In.upf
Ag 107.87 Ag.upf
ATOMIC_POSITIONS crystal
Cl 0.9317 0.5982 0.2352
Cl 0.3779 0.7192 0.7491
Cl 0.7190 0.1523 0.7506
Cl 0.1533 0.3783 0.7498
Cl 0.5980 0.2366 0.2341
Cl 0.2357 0.9310 0.2350
Pb 0.0099 0.0101 0.9702
Pb 0.5175 0.5172 0.4482
In 0.8046 0.8053 0.5844
Ag 0.3140 0.3134 0.0585
CELL_PARAMETERS angstrom
7.4503 0.0075 0.0035
3.7316 6.4476 0.0037
3.7301 2.1540 6.6112